Entry 1:
Material: TaTl2Fe
Method: DFT, GGA-PBE
State: relaxed

Unit cell a=3.0031 b=3.0031 c=8.6256 alpha=90.00 beta=90.00 gamma=90.00
Each line ends with the local moment (μB).
Sites, in units of the cell vectors:
Fe 0.5000 0.5000 0.2500  2.69
Ta 0.5000 0.5000 0.7500  0.06
Tl 0.0000 0.0000 0.0162  -0.02
Tl 0.0000 0.0000 0.4838  -0.02

Energy relative to the elements, eV per atom: 0.6974
Size of the total moment, μB per atom: 0.683
Space-group type: No. 123
V, Å³/f.u.: 78

=====

Entry 2:
Material: BaCaCd3
Method: DFT, GGA-PBE
State: relaxed

Unit cell a=4.2100 b=5.0329 c=15.4477 alpha=90.00 beta=97.83 gamma=90.00
Sites, in units of the cell vectors:
Ba 0.9239 0.7500 0.8477
Ba 0.0761 0.2500 0.1523
Ca 0.2103 0.7500 0.4206
Ca 0.7897 0.2500 0.5794
Cd 0.6260 0.7500 0.2520
Cd 0.3740 0.2500 0.7480
Cd 0.5255 0.7500 0.0509
Cd 0.4745 0.2500 0.9491
Cd 0.6807 0.2500 0.3615
Cd 0.3193 0.7500 0.6385

Energy relative to the elements, eV per atom: -0.3126
Size of the total moment, μB per atom: 0.000
Space-group type: No. 63
V, Å³/f.u.: 162

=====

Entry 3:
Material: LiLaThOs
Method: DFT, GGA-PBE
State: relaxed

Unit cell a=5.1161 b=5.1161 c=5.1161 alpha=60.00 beta=60.00 gamma=60.00
Sites, in units of the cell vectors:
Li 0.0000 0.0000 0.0000
Os 0.5000 0.5000 0.5000
Th 0.7500 0.7500 0.7500
La 0.2500 0.2500 0.2500

Energy relative to the elements, eV per atom: -0.0596
Size of the total moment, μB per atom: 0.000
Space-group type: No. 216
V, Å³/f.u.: 95